Record 1
A relaxed TcBPtC2 crystal. Source: Alexandria, functional GGA-PBE.

Cell lengths 3.6220, 3.6220, 4.2360 Å; angles 90.00, 90.00, 90.00 degrees
Closest atoms and distances in Å follow each position.
Sites, in units of the cell vectors:
Tc 0.0000 0.0000 0.0000  2 B 2.12
B 0.0000 0.0000 0.5000  4 C 1.81
Pt 0.5000 0.5000 0.0000  4 Tc 2.56, 8 C 2.79
C 0.0000 0.5000 0.5000  2 B 1.81
C 0.5000 0.0000 0.5000  2 B 1.81

Total energy: -6.2816 eV per atom
Energy of formation from the pure elements: 2.025 eV per atom
Calculated volume: 56 Å³/cell



Record 2
A relaxed PmTlAgPd crystal. Source: Alexandria, functional GGA-PBE.

Cell lengths 4.9973, 4.9973, 4.9973 Å; angles 60.00, 60.00, 60.00 degrees
Closest atoms and distances in Å follow each position.
Sites, in units of the cell vectors:
Pm 0.0000 0.0000 0.0000  4 Ag 3.06, 4 Pd 3.06
Tl 0.5000 0.5000 0.5000  4 Ag 3.06, 4 Pd 3.06
Ag 0.7500 0.7500 0.7500  4 Tl 3.06, 4 Pm 3.06
Pd 0.2500 0.2500 0.2500  4 Tl 3.06, 4 Pm 3.06

Total energy: -4.1828 eV per atom
Energy of formation from the pure elements: -0.393 eV per atom
Calculated volume: 88 Å³/cell